The following is a DFT calculation (GGA-PBEsol) of a relaxed GdSnPt crystal.

Computed properties:
Space group: P-62m, No. 189
Crystal system: hexagonal
Formation enthalpy at 0 K in eV/atom: -1.110
Electronic total energy in eV per atom: -9.67

abc: 7.4395 7.4395 4.0048
angles: 90.00 90.00 120.00
Atoms (fractional coordinates):
1 Gd 0.0000 0.4081 0.0000
2 Gd 0.4081 0.0000 0.0000
3 Gd 0.5919 0.5919 0.0000
4 Sn 0.0000 0.7427 0.5000
5 Sn 0.2573 0.2573 0.5000
6 Sn 0.7427 0.0000 0.5000
7 Pt 0.0000 0.0000 0.0000
8 Pt 0.3333 0.6667 0.5000
9 Pt 0.6667 0.3333 0.5000